Below is a geometry-optimized In2MoW structure, with properties calculated at the PBE level.

abc: 9.551 9.551 9.551
angles: 19.16 19.16 19.16
Fractional positions:
In1 0.000 0.000 0.000
In2 0.239 0.239 0.239
Mo1 0.484 0.484 0.484
W1 0.756 0.756 0.756

Values from the calculation:
Its symmetry is R3m. As for the total magnetization: 0.0 μB per formula unit. The value obtained for the uncorrected energy is -6.96 eV per atom. The energy above the most stable polymorph in this dataset comes out at 0.061 eV/atom.